A.
## YInSnHg (GGA-PBE)

Data for a geometry-optimized YInSnHg structure.

Lattice parameters (Å, degrees): 4.5450 4.5773 4.7920 90.00 90.00 90.00
Space group Pmmm (No. 47)
Unique sites:
Y  0.0000  0.0000  0.0000 (multiplicity 1)
In  0.0000  0.5000  0.5000 (multiplicity 1)
Sn  0.5000  0.5000  0.0000 (multiplicity 1)
Hg  0.5000  0.0000  0.5000 (multiplicity 1)

---

B.
## YInSnHg (GGA-PBE)

Data for a geometry-optimized YInSnHg structure.

Lattice parameters (Å, degrees): 7.5085 7.5085 7.5085 90.00 90.00 90.00
Space group F-43m (No. 216)
Unique sites:
Y  0.0000  0.0000  0.0000 (multiplicity 4)
In  0.0000  0.0000  0.5000 (multiplicity 4)
Sn  0.2500  0.2500  0.2500 (multiplicity 4)
Hg  0.2500  0.2500  0.7500 (multiplicity 4)

---

Which of them is the most stable, and which is the least stable? A and B, in that order.

---

A.
## SrIn12Hg6 (GGA-PBE)

Data for a geometry-optimized SrIn12Hg6 structure.

Lattice parameters (Å, degrees): 9.4651 9.4651 20.4973 90.00 90.00 120.00
Space group R-3 (No. 148, hexagonal axes)
Unique sites:
Sr  0.0000  0.0000  0.0000 (multiplicity 3)
In  0.0946  0.5454  0.8100 (multiplicity 18)
In  0.0961  0.8736  0.3973 (multiplicity 18)
Hg  0.0628  0.5241  0.3953 (multiplicity 18)

---

B.
## SrIn12Hg6 (GGA-PBE)

Data for a geometry-optimized SrIn12Hg6 structure.

Lattice parameters (Å, degrees): 13.9598 13.9598 9.7591 90.00 90.00 120.00
Space group R-3m (No. 166, hexagonal axes)
Unique sites:
Sr  0.0000  0.0000  0.0000 (multiplicity 3)
In  0.0000  0.3912  0.5000 (multiplicity 18)
In  0.0779  0.1558  0.3325 (multiplicity 18)
Hg  0.0142  0.5071  0.2282 (multiplicity 18)

---

Which of them is the most stable, and which is the least stable? A and B, in that order.

---

A.
## SrIn7Hg12 (GGA-PBE)

Data for a geometry-optimized SrIn7Hg12 structure.

Lattice parameters (Å, degrees): 15.1115 15.1115 8.4945 90.00 90.00 120.00
Space group R-3m (No. 166, hexagonal axes)
Unique sites:
Sr  0.0000  0.0000  0.0000 (multiplicity 3)
In  0.0000  0.0000  0.5000 (multiplicity 3)
In  0.0911  0.5456  0.3394 (multiplicity 18)
Hg  0.0000  0.2351  0.0000 (multiplicity 18)
Hg  0.1100  0.2200  0.3096 (multiplicity 18)

---

B.
## SrIn7Hg12 (GGA-PBE)

Data for a geometry-optimized SrIn7Hg12 structure.

Lattice parameters (Å, degrees): 10.9506 10.9506 10.9506 90.00 90.00 90.00
Space group Im-3 (No. 204)
Unique sites:
Sr  0.0000  0.0000  0.0000 (multiplicity 2)
In  0.0000  0.0000  0.5000 (multiplicity 6)
In  0.2500  0.2500  0.2500 (multiplicity 8)
Hg  0.0000  0.2786  0.1580 (multiplicity 24)

---

Which of them is the most stable, and which is the least stable? A and B, in that order.

---

A.
## Sr2In2Hg (GGA-PBE)

Data for a geometry-optimized Sr2In2Hg structure.

Lattice parameters (Å, degrees): 9.4263 9.4263 4.0990 90.00 90.00 90.00
Space group P4/mbm (No. 127)
Unique sites:
Sr  0.1852  0.3148  0.0000 (multiplicity 4)
In  0.1098  0.6098  0.5000 (multiplicity 4)
Hg  0.0000  0.0000  0.0000 (multiplicity 2)

---

B.
## Sr2In2Hg (GGA-PBE)

Data for a geometry-optimized Sr2In2Hg structure.

Lattice parameters (Å, degrees): 12.0963 4.9507 12.1472 90.00 116.95 90.00
Space group C2/m (No. 12)
Unique sites:
Sr  0.0146  0.0000  0.3333 (multiplicity 4)
Sr  0.1887  0.0000  0.1097 (multiplicity 4)
In  0.0248  0.5000  0.8883 (multiplicity 4)
In  0.1415  0.5000  0.5587 (multiplicity 4)
Hg  0.2215  0.5000  0.3382 (multiplicity 4)

---

C.
## Sr2In2Hg (GGA-PBE)

Data for a geometry-optimized Sr2In2Hg structure.

Lattice parameters (Å, degrees): 6.5516 6.5516 8.7868 90.00 90.00 90.00
Space group I4/mmm (No. 139)
Unique sites:
Sr  0.0000  0.5000  0.2500 (multiplicity 4)
In  0.0000  0.0000  0.1579 (multiplicity 4)
Hg  0.0000  0.0000  0.5000 (multiplicity 2)

---

D.
## Sr2In2Hg (GGA-PBE)

Data for a geometry-optimized Sr2In2Hg structure.

Lattice parameters (Å, degrees): 3.9724 5.0227 15.8162 90.00 90.00 90.00
Space group Amm2 (No. 38)
Unique sites:
Sr  0.0000  0.0000  0.0000 (multiplicity 2)
Sr  0.0000  0.0000  0.2377 (multiplicity 2)
In  0.5000  0.0000  0.6193 (multiplicity 2)
In  0.5000  0.0000  0.8172 (multiplicity 2)
Hg  0.5000  0.0000  0.4205 (multiplicity 2)

---

Which of them is the most stable, and which is the least stable? B and C, in that order.

---

A.
## Sr2In2Hg (GGA-PBE)

Data for a geometry-optimized Sr2In2Hg structure.

Lattice parameters (Å, degrees): 4.2179 4.2179 19.5563 90.00 90.00 90.00
Space group I4/mmm (No. 139)
Unique sites:
Sr  0.0000  0.0000  0.0980 (multiplicity 4)
In  0.0000  0.5000  0.2500 (multiplicity 4)
Hg  0.0000  0.0000  0.5000 (multiplicity 2)

---

B.
## Sr2In2Hg (GGA-PBE)

Data for a geometry-optimized Sr2In2Hg structure.

Lattice parameters (Å, degrees): 8.7808 8.7808 4.3819 90.00 90.00 90.00
Space group P4/mbm (No. 127)
Unique sites:
Sr  0.1758  0.3242  0.0000 (multiplicity 4)
In  0.1227  0.6227  0.5000 (multiplicity 4)
Hg  0.0000  0.0000  0.5000 (multiplicity 2)

---

Which of them is the most stable, and which is the least stable? B and A, in that order.

---

A.
## SrInHg4 (GGA-PBE)

Data for a geometry-optimized SrInHg4 structure.

Lattice parameters (Å, degrees): 8.7519 8.7519 8.7519 90.00 90.00 90.00
Space group F-43m (No. 216)
Unique sites:
Sr  0.0000  0.0000  0.0000 (multiplicity 4)
In  0.2500  0.2500  0.2500 (multiplicity 4)
Hg  0.1247  0.1247  0.6247 (multiplicity 16)

---

B.
## SrInHg4 (GGA-PBE)

Data for a geometry-optimized SrInHg4 structure.

Lattice parameters (Å, degrees): 5.4139 15.9901 8.2114 90.00 90.00 90.00
Space group Cmcm (No. 63)
Unique sites:
Sr  0.0000  0.1270  0.2500 (multiplicity 4)
In  0.0000  0.3536  0.2500 (multiplicity 4)
Hg  0.0000  0.0740  0.7500 (multiplicity 4)
Hg  0.0000  0.2735  0.5744 (multiplicity 8)
Hg  0.0000  0.5000  0.0000 (multiplicity 4)

---

Which of them is the most stable, and which is the least stable? A and B, in that order.

---

A.
## Sr4InHg (GGA-PBE)

Data for a geometry-optimized Sr4InHg structure.

Lattice parameters (Å, degrees): 4.0796 4.0796 14.3960 90.00 90.00 90.00
Space group P4/mmm (No. 123)
Unique sites:
Sr  0.0000  0.0000  0.1329 (multiplicity 2)
Sr  0.5000  0.5000  0.3630 (multiplicity 2)
In  0.0000  0.0000  0.5000 (multiplicity 1)
Hg  0.5000  0.5000  0.0000 (multiplicity 1)

---

B.
## Sr4InHg (GGA-PBE)

Data for a geometry-optimized Sr4InHg structure.

Lattice parameters (Å, degrees): 10.1924 10.1924 10.1924 90.00 90.00 90.00
Space group F-43m (No. 216)
Unique sites:
Sr  0.1254  0.1254  0.1254 (multiplicity 16)
In  0.0000  0.0000  0.5000 (multiplicity 4)
Hg  0.2500  0.2500  0.7500 (multiplicity 4)

---

C.
## Sr4InHg (GGA-PBE)

Data for a geometry-optimized Sr4InHg structure.

Lattice parameters (Å, degrees): 8.0551 8.0551 8.0100 90.00 90.05 90.00
Space group C2/m (No. 12)
Unique sites:
Sr  0.2502  0.2503  0.2477 (multiplicity 8)
In  0.0000  0.0000  0.0000 (multiplicity 2)
Hg  0.0000  0.5000  0.5000 (multiplicity 2)

---

Which of them is the most stable, and which is the least stable? A and B, in that order.

---

A.
## SrIn6Hg12 (GGA-PBE)

Data for a geometry-optimized SrIn6Hg12 structure.

Lattice parameters (Å, degrees): 14.5198 14.5198 8.3784 90.00 90.00 120.00
Space group R-3 (No. 148, hexagonal axes)
Unique sites:
Sr  0.0000  0.0000  0.0000 (multiplicity 3)
In  0.0317  0.2703  0.3178 (multiplicity 18)
Hg  0.0156  0.1440  0.6616 (multiplicity 18)
Hg  0.0642  0.5680  0.6736 (multiplicity 18)

---

B.
## SrIn6Hg12 (GGA-PBE)

Data for a geometry-optimized SrIn6Hg12 structure.

Lattice parameters (Å, degrees): 13.8667 13.8667 9.7485 90.00 90.00 120.00
Space group R-3m (No. 166, hexagonal axes)
Unique sites:
Sr  0.0000  0.0000  0.0000 (multiplicity 3)
In  0.0516  0.5258  0.2243 (multiplicity 18)
Hg  0.0000  0.3909  0.5000 (multiplicity 18)
Hg  0.0785  0.1571  0.2871 (multiplicity 18)

---

Which of them is the most stable, and which is the least stable? A and B, in that order.

---

A.
## SrIn2Hg3 (GGA-PBE)

Data for a geometry-optimized SrIn2Hg3 structure.

Lattice parameters (Å, degrees): 4.6247 4.6247 32.5433 90.00 90.00 90.00
Space group I4/mmm (No. 139)
Unique sites:
Sr  0.0000  0.0000  0.1534 (multiplicity 4)
In  0.0000  0.0000  0.3979 (multiplicity 4)
In  0.0000  0.5000  0.2500 (multiplicity 4)
Hg  0.0000  0.0000  0.3096 (multiplicity 4)
Hg  0.0000  0.5000  0.0439 (multiplicity 8)

---

B.
## SrIn2Hg3 (GGA-PBE)

Data for a geometry-optimized SrIn2Hg3 structure.

Lattice parameters (Å, degrees): 5.1775 5.1775 14.2925 90.00 90.00 120.00
Space group P6_3/mmc (No. 194)
Unique sites:
Sr  0.0000  0.0000  0.2500 (multiplicity 2)
In  0.3333  0.6667  0.0870 (multiplicity 4)
Hg  0.0000  0.0000  0.0000 (multiplicity 2)
Hg  0.3333  0.6667  0.6378 (multiplicity 4)

---

Which of them is the most stable, and which is the least stable? B and A, in that order.